Entry 1:
{"formula": "ReRuSe2N", "functional": "GGA-PBE", "state": "relaxed", "de_polymorph_mev_per_atom": 0, "magmom_total_mub_per_cell": 2.25, "crystal_system": "tetragonal", "raw_formation_energy_ev_per_atom": 0.87, "lattice": [[-0.3260, -4.4755, -2.2218], [3.3262, -1.8559, 3.2504], [-2.7540, -0.9338, 2.2850]], "species": ["Ru", "N", "Re", "Se", "Se"], "frac_coords": [[0.5000, 0.5000, 0.5000], [0.0000, 0.0000, 0.5000], [0.0000, 0.0000, 0.0000], [0.0000, 0.5000, 0.0000], [0.5000, 0.0000, 0.0000]]}


Entry 2:
{"formula": "V2CuH", "functional": "GGA-PBE", "state": "relaxed", "de_polymorph_mev_per_atom": 18, "magmom_total_mub_per_cell": 0.00, "crystal_system": "tetragonal", "lattice": [[-4.7806, 1.4648, -2.6954], [2.5191, -0.9738, -4.9971], [-1.9554, -2.2986, -3.7662]], "species": ["Cu", "V", "H", "V", "V", "H", "Cu", "V"], "frac_coords": [[0.7500, 0.2500, 0.5000], [0.2135, 0.1250, 0.2500], [0.2500, 0.7500, 0.5000], [0.3750, 0.7865, 0.7500], [0.8750, 0.4635, 0.7500], [0.5000, 0.5000, 0.0000], [0.0000, 0.0000, 0.0000], [0.5365, 0.6250, 0.2500]]}


Entry 3:
{"formula": "Sm6Tl2In3", "functional": "GGA-PBE", "state": "relaxed", "e_form_ev_per_atom": 0.024, "magmom_total_mub_per_cell": 0.00, "crystal_system": "tetragonal", "lattice": [[-5.9361, 0.5669, -0.2545], [-0.6191, -5.1897, 2.8822], [3.3719, 7.5072, 8.0620]], "species": ["Sm", "In", "Sm", "In", "Sm", "Tl", "In", "Tl", "Sm", "Sm", "Sm"], "frac_coords": [[0.4137, 0.9137, 0.8274], [0.0000, 0.0000, 0.0000], [0.7064, 0.7064, 0.4128], [0.1502, 0.1502, 0.3005], [0.0863, 0.5863, 0.1726], [0.5668, 0.5668, 0.1336], [0.8498, 0.8498, 0.6995], [0.4332, 0.4332, 0.8664], [0.5863, 0.0863, 0.1726], [0.2936, 0.2936, 0.5872], [0.9137, 0.4137, 0.8274]]}


Entry 4:
{"formula": "NbOs8", "functional": "GGA-PBE", "state": "relaxed", "e_form_ev_per_atom": 0.075, "magmom_total_mub_per_cell": 0.00, "crystal_system": "orthorhombic", "lattice": [[-5.4101, 1.5930, 2.4904], [-2.3924, -3.6984, -4.3322], [3.1482, 0.0351, 5.3158]], "species": ["Os", "Os", "Os", "Os", "Os", "Nb", "Os", "Os", "Os"], "frac_coords": [[0.6634, 0.0008, 0.6639], [0.0000, 0.3276, 0.6724], [0.6558, 0.3281, 0.3281], [0.3366, 0.9992, 0.3361], [0.0000, 0.6724, 0.3276], [0.0000, 0.0000, 0.0000], [0.3442, 0.6719, 0.6719], [0.6634, 0.6639, 0.0007], [0.3366, 0.3361, 0.9993]]}


Entry 5:
{"formula": "HoZn5Cu2Pd", "functional": "GGA-PBE", "state": "relaxed", "e_form_ev_per_atom": -0.106, "magmom_total_mub_per_cell": 0.00, "crystal_system": "tetragonal", "lattice": [[4.6370, 0.0000, 0.0000], [0.0000, 4.6370, 0.0000], [0.0000, 0.0000, 6.9893]], "species": ["Zn", "Ho", "Zn", "Cu", "Cu", "Zn", "Zn", "Zn", "Pd"], "frac_coords": [[0.0000, 0.5000, 0.2098], [0.0000, 0.0000, 0.5000], [0.5000, 0.0000, 0.2098], [0.5000, 0.5000, 0.1640], [0.5000, 0.5000, 0.8360], [0.5000, 0.5000, 0.5000], [0.0000, 0.5000, 0.7902], [0.5000, 0.0000, 0.7902], [0.0000, 0.0000, 0.0000]]}


Entry 6:
{"formula": "LaDy3Sb3", "functional": "GGA-PBE", "state": "relaxed", "de_polymorph_mev_per_atom": 0, "magmom_total_mub_per_cell": 0.00, "crystal_system": "cubic", "raw_formation_energy_ev_per_atom": -1.01, "lattice": [[9.3291, 0.0000, 0.0000], [0.0000, 9.3291, 0.0000], [0.0000, 0.0000, 9.3291]], "species": ["Dy", "Dy", "Sb", "Dy", "Sb", "Dy", "Dy", "Sb", "La", "Sb", "Sb", "La", "Dy", "La", "Dy", "Sb", "Dy", "Sb", "Sb", "Sb", "Sb", "Dy", "Sb", "Sb", "Dy", "Dy", "La", "Dy"], "frac_coords": [[0.3192, 0.1808, 0.8192], [0.8192, 0.3192, 0.1808], [0.4984, 0.2595, 0.1186], [0.4221, 0.5779, 0.0779], [0.1186, 0.4984, 0.2595], [0.0779, 0.4221, 0.5779], [0.6796, 0.3204, 0.8204], [0.7405, 0.6186, 0.0016], [0.9309, 0.0691, 0.5691], [0.0016, 0.7405, 0.6186], [0.5016, 0.7595, 0.3814], [0.4309, 0.4309, 0.4309], [0.1808, 0.8192, 0.3192], [0.5691, 0.9309, 0.0691], [0.3204, 0.8204, 0.6796], [0.3814, 0.5016, 0.7595], [0.6808, 0.6808, 0.6808], [0.9984, 0.2405, 0.8814], [0.8814, 0.9984, 0.2405], [0.7595, 0.3814, 0.5016], [0.2595, 0.1186, 0.4984], [0.8204, 0.6796, 0.3204], [0.6186, 0.0016, 0.7405], [0.2405, 0.8814, 0.9984], [0.5779, 0.0779, 0.4221], [0.1796, 0.1796, 0.1796], [0.0691, 0.5691, 0.9309], [0.9221, 0.9221, 0.9221]]}